Record 1
10
Lattice="-1.2163 4.9218 -0.0735 -4.4291 -1.0611 2.2377 3.7224 3.6678 9.1074" Properties=species:S:1:pos:R:3 comment="Tm3TlAg GGA-PBE optimized geometry" total_magnetization_mub_per_fu=0.01 dft_energy_ev_per_cell=-39.7 pbc="T T T"
Tm 1.6973 4.8521 8.5374
Tm -1.1271 6.7820 9.6161
Tm -1.5846 3.9375 1.6077
Tm -1.5499 1.4034 6.2286
Tm -3.1926 0.9456 2.7599
Tm 0.0545 4.3943 5.0688
Tl -2.9695 3.6382 4.4783
Tl 0.2578 7.0814 6.7454
Ag -0.1290 1.7127 3.4338
Ag -1.3663 4.0849 7.8635

Record 2
3
Lattice="3.3608 0.0000 0.0000 0.0000 4.9229 0.0000 0.0000 -2.4615 4.2634" Properties=species:S:1:pos:R:3 comment="TmTlAg GGA-PBE optimized geometry" total_magnetization_mub_per_fu=0.00 dft_energy_ev_per_cell=-10.4 pbc="T T T"
Ag 0.5575 0.0000 2.8422
Tl 0.5629 0.0000 0.0000
Tm 2.2404 2.4615 1.4211

Record 3
6
Lattice="4.1177 0.0000 0.4520 0.0000 4.7171 0.0000 -0.8231 0.0000 7.4240" Properties=species:S:1:pos:R:3 comment="TmTlAg GGA-PBE optimized geometry" total_magnetization_mub_per_fu=0.00 dft_energy_ev_per_cell=-20.5 pbc="T T T"
Tm 0.3650 1.1793 6.1305
Tm 2.9296 3.5378 1.7455
Ag 2.6713 1.1793 4.1030
Ag 0.6233 3.5378 3.7731
Tl 0.8410 1.1793 1.7906
Tl 2.4536 3.5378 6.0854

Record 4
8
Lattice="3.6537 0.0000 0.0000 0.0000 4.8085 0.0000 0.0000 0.0000 11.2183" Properties=species:S:1:pos:R:3 comment="Tm4TlAg3 GGA-PBE optimized geometry" total_magnetization_mub_per_fu=0.00 dft_energy_ev_per_cell=-31.1 pbc="T T T"
Tm 0.0000 2.4042 9.4476
Tm 1.8268 0.0000 7.1948
Tm 0.0000 0.0000 1.7452
Tm 1.8268 2.4042 4.0686
Ag 0.0000 0.0000 4.7379
Ag 1.8268 0.0000 10.2524
Ag 0.0000 2.4042 6.4988
Tl 1.8268 2.4042 0.9278

Record 5
6
Lattice="-2.1449 2.8233 0.5085 -2.7882 -1.9022 -1.1991 -2.1346 -3.5218 10.5500" Properties=species:S:1:pos:R:3 comment="Tm3TlAg2 GGA-PBE optimized geometry" total_magnetization_mub_per_fu=0.00 dft_energy_ev_per_cell=-23.5 pbc="T T T"
Tm -0.6795 -1.1211 3.3584
Tm -1.4551 -2.4007 7.1916
Tm 0.0000 0.0000 0.0000
Tl -3.5338 -1.3003 4.9297
Ag -4.2583 -2.4955 8.5102
Ag -2.8094 -0.1051 1.3492

Record 6
9
Lattice="4.8696 0.0000 0.0000 -2.4348 5.3420 -0.7747 0.0000 -3.4353 8.3813" Properties=species:S:1:pos:R:3 comment="Tm3Tl2Ag4 GGA-PBE optimized geometry" total_magnetization_mub_per_fu=0.00 dft_energy_ev_per_cell=-31.7 pbc="T T T"
Tl 2.4348 0.3073 2.1946
Tl 0.0000 1.5994 5.4121
Tm 2.4348 -0.5854 5.3980
Tm 0.0000 2.4922 2.2086
Tm 0.0000 0.0000 0.0000
Ag 2.4348 2.2595 0.1249
Ag 0.0000 -0.7680 3.1867
Ag 0.0000 -0.3528 7.4818
Ag 2.4348 2.6747 4.4199